AcBeZn | PBE | relaxed

Results
- Symmetry: F-43m
- Offset from the most stable computed form: 0.000 eV/atom
- Energy: -2.8272 eV per atom
- Mass density: 6.77 Mg/m³

The structure in POSCAR format:
```
AcBeZn
1.0
2.082 2.369 3.500
-2.333 0.806 4.013
1.254 -2.248 3.946
Ac Be Zn
1 1 1
Direct
0.250 0.250 0.250
0.000 0.000 0.000
0.750 0.750 0.750
```


Cs2CuHgCl6 | PBE | relaxed

Results
- Symmetry: P2_1/c
- Energy: -2.8014 eV per atom
- Mass density: 4.53 Mg/m³

The structure in POSCAR format:
```
Cs2CuHgCl6
1.0
-7.194 0.626 -0.774
-0.977 -3.216 6.474
7.487 8.561 5.383
Cl Cs Cu Hg
12 4 2 2
Direct
0.260 0.237 0.001
0.741 0.238 0.001
0.737 0.998 0.238
0.263 0.498 0.262
0.259 0.738 0.499
0.740 0.737 0.499
0.260 0.263 0.501
0.741 0.262 0.501
0.737 0.502 0.738
0.263 0.002 0.762
0.259 0.762 0.999
0.740 0.763 0.999
0.748 0.499 0.248
0.252 0.999 0.252
0.748 0.001 0.748
0.252 0.501 0.752
0.500 0.000 0.000
0.500 0.500 0.500
0.000 0.500 0.000
0.000 0.000 0.500
```


PmCdNO | PBE | relaxed

Results
- Symmetry: Pmc2_1
- Offset from the most stable computed form: 0.052 eV/atom
- Energy: -6.0121 eV per atom
- Mass density: 6.52 Mg/m³

The structure in POSCAR format:
```
PmCdNO
1.0
-2.516 -1.643 -2.308
1.425 -5.428 2.311
-4.518 0.699 4.428
Cd N O Pm
2 2 2 2
Direct
0.000 0.506 0.350
0.000 0.006 0.650
0.000 0.867 0.329
0.000 0.367 0.671
0.500 0.379 0.159
0.500 0.879 0.841
0.500 0.002 0.178
0.500 0.502 0.822
```